The following is a GGA-PBE calculation of crystalline La3Dy12Tl5 at its relaxed geometry, from the Alexandria database.

Computed properties:
For the total DFT energy (no corrections), the calculation gives -3.566 eV/atom. The formation enthalpy at 0 K comes out at 526 meV per atom. For the total magnetization, the calculation gives 0.000 μB/atom.

Unit cell a=15.860 b=15.860 c=15.860 alpha=109.47 beta=109.47 gamma=109.47
Fractional positions:
La 0.125 0.250 0.375
La 0.125 0.375 0.750
La 0.250 0.375 0.125
La 0.250 0.875 0.625
La 0.375 0.125 0.250
La 0.375 0.750 0.125
La 0.625 0.250 0.875
La 0.625 0.875 0.750
La 0.750 0.125 0.375
La 0.750 0.625 0.875
La 0.875 0.625 0.250
La 0.875 0.750 0.625
Dy 0.051 0.220 0.122
Dy 0.051 0.331 0.929
Dy 0.071 0.622 0.402
Dy 0.071 0.949 0.669
Dy 0.098 0.720 0.669
Dy 0.098 0.878 0.429
Dy 0.122 0.051 0.220
Dy 0.122 0.571 0.902
Dy 0.169 0.220 0.598
Dy 0.169 0.449 0.571
Dy 0.220 0.122 0.051
Dy 0.220 0.598 0.169
Dy 0.280 0.331 0.902
Dy 0.280 0.449 0.378
Dy 0.331 0.902 0.280
Dy 0.331 0.929 0.051
Dy 0.378 0.280 0.449
Dy 0.378 0.598 0.929
Dy 0.402 0.071 0.622
Dy 0.402 0.831 0.780
Dy 0.429 0.098 0.878
Dy 0.429 0.831 0.551
Dy 0.449 0.378 0.280
Dy 0.449 0.571 0.169
Dy 0.551 0.429 0.831
Dy 0.551 0.622 0.720
Dy 0.571 0.169 0.449
Dy 0.571 0.902 0.122
Dy 0.598 0.169 0.220
Dy 0.598 0.929 0.378
Dy 0.622 0.402 0.071
Dy 0.622 0.720 0.551
Dy 0.669 0.071 0.949
Dy 0.669 0.098 0.720
Dy 0.720 0.551 0.622
Dy 0.720 0.669 0.098
Dy 0.780 0.402 0.831
Dy 0.780 0.878 0.949
Dy 0.831 0.551 0.429
Dy 0.831 0.780 0.402
Dy 0.878 0.429 0.098
Dy 0.878 0.949 0.780
Dy 0.902 0.122 0.571
Dy 0.902 0.280 0.331
Dy 0.929 0.051 0.331
Dy 0.929 0.378 0.598
Dy 0.949 0.669 0.071
Dy 0.949 0.780 0.878
Tl 0.000 0.000 0.000
Tl 0.000 0.000 0.500
Tl 0.000 0.500 0.000
Tl 0.000 0.500 0.500
Tl 0.125 0.750 0.875
Tl 0.125 0.875 0.250
Tl 0.250 0.125 0.875
Tl 0.250 0.625 0.375
Tl 0.375 0.250 0.625
Tl 0.375 0.625 0.750
Tl 0.500 0.000 0.000
Tl 0.500 0.000 0.500
Tl 0.500 0.500 0.000
Tl 0.500 0.500 0.500
Tl 0.625 0.375 0.250
Tl 0.625 0.750 0.375
Tl 0.750 0.375 0.625
Tl 0.750 0.875 0.125
Tl 0.875 0.125 0.750
Tl 0.875 0.250 0.125

***

The following is a GGA-PBE calculation of crystalline La6DyTl at its relaxed geometry, from the Alexandria database.

Computed properties:
For the total DFT energy (no corrections), the calculation gives -4.669 eV/atom. The formation enthalpy at 0 K comes out at -102 meV per atom. As for the relative energy among the computed polymorphs: 0 meV/atom. For the total magnetization, the calculation gives 0.000 μB/atom.

Unit cell a=5.122 b=5.122 c=10.408 alpha=90.00 beta=90.00 gamma=90.00
Fractional positions:
La 0.000 0.000 0.000
La 0.000 0.000 0.500
La 0.000 0.500 0.246
La 0.000 0.500 0.754
La 0.500 0.000 0.246
La 0.500 0.000 0.754
Dy 0.500 0.500 0.500
Tl 0.500 0.500 0.000

***

The following is a GGA-PBE calculation of crystalline La2Dy3Tl3 at its relaxed geometry, from the Alexandria database.

Computed properties:
For the total DFT energy (no corrections), the calculation gives -4.099 eV/atom. The formation enthalpy at 0 K comes out at -254 meV per atom. For the total magnetization, the calculation gives 0.000 μB/atom.

Unit cell a=4.975 b=5.123 c=9.355 alpha=90.00 beta=90.00 gamma=90.00
Fractional positions:
La 0.000 0.000 0.247
La 0.000 0.000 0.753
Dy 0.500 0.000 0.500
Dy 0.500 0.500 0.229
Dy 0.500 0.500 0.771
Tl 0.000 0.500 0.000
Tl 0.000 0.500 0.500
Tl 0.500 0.000 0.000

***

The following is a GGA-PBE calculation of crystalline La3DyTl3 at its relaxed geometry, from the Alexandria database.

Computed properties:
For the total DFT energy (no corrections), the calculation gives -4.021 eV/atom. The formation enthalpy at 0 K comes out at -238 meV per atom. As for the relative energy among the computed polymorphs: 65 meV/atom. For the total magnetization, the calculation gives 0.000 μB/atom.

Unit cell a=6.989 b=6.989 c=9.849 alpha=91.31 beta=91.31 gamma=104.61
Fractional positions:
La 0.178 0.822 0.000
La 0.244 0.756 0.500
La 0.406 0.406 0.182
La 0.594 0.594 0.818
La 0.756 0.244 0.500
La 0.822 0.178 0.000
Dy 0.275 0.275 0.546
Dy 0.725 0.725 0.454
Tl 0.033 0.033 0.274
Tl 0.059 0.474 0.765
Tl 0.474 0.059 0.765
Tl 0.526 0.941 0.235
Tl 0.941 0.526 0.235
Tl 0.967 0.967 0.726

***

The following is a GGA-PBE calculation of crystalline La2Dy3Tl at its relaxed geometry, from the Alexandria database.

Computed properties:
For the total DFT energy (no corrections), the calculation gives -4.394 eV/atom. The formation enthalpy at 0 K comes out at -56 meV per atom. As for the relative energy among the computed polymorphs: 0 meV/atom. For the total magnetization, the calculation gives 0.000 μB/atom.

Unit cell a=6.222 b=6.222 c=5.864 alpha=90.00 beta=90.00 gamma=123.93
Fractional positions:
La 0.159 0.841 0.000
La 0.841 0.159 0.000
Dy 0.000 0.000 0.500
Dy 0.343 0.657 0.500
Dy 0.657 0.343 0.500
Tl 0.500 0.500 0.000

***

The following is a GGA-PBE calculation of crystalline LaDyTl at its relaxed geometry, from the Alexandria database.

Computed properties:
For the total DFT energy (no corrections), the calculation gives -4.229 eV/atom. The formation enthalpy at 0 K comes out at -264 meV per atom. As for the relative energy among the computed polymorphs: 3 meV/atom. For the total magnetization, the calculation gives 0.003 μB/atom.

Unit cell a=8.472 b=8.472 c=5.091 alpha=90.04 beta=90.04 gamma=30.85
Fractional positions:
La 0.072 0.072 0.249
La 0.928 0.928 0.751
Dy 0.235 0.235 0.750
Dy 0.765 0.765 0.250
Tl 0.397 0.397 0.250
Tl 0.603 0.603 0.750

***

The following is a GGA-PBE calculation of crystalline La12DyTl3 at its relaxed geometry, from the Alexandria database.

Computed properties:
For the total DFT energy (no corrections), the calculation gives -4.599 eV/atom. The formation enthalpy at 0 K comes out at -172 meV per atom. For the total magnetization, the calculation gives 0.000 μB/atom.

Unit cell a=5.088 b=5.088 c=20.604 alpha=90.00 beta=90.00 gamma=90.00
Fractional positions:
La 0.000 0.000 0.000
La 0.000 0.000 0.247
La 0.000 0.000 0.500
La 0.000 0.000 0.753
La 0.000 0.500 0.123
La 0.000 0.500 0.371
La 0.000 0.500 0.629
La 0.000 0.500 0.877
La 0.500 0.000 0.123
La 0.500 0.000 0.371
La 0.500 0.000 0.629
La 0.500 0.000 0.877
Dy 0.500 0.500 0.500
Tl 0.500 0.500 0.000
Tl 0.500 0.500 0.245
Tl 0.500 0.500 0.755

***

The following is a GGA-PBE calculation of crystalline La3Dy2Tl6 at its relaxed geometry, from the Alexandria database.

Computed properties:
For the total DFT energy (no corrections), the calculation gives -3.641 eV/atom. The formation enthalpy at 0 K comes out at -170 meV per atom. For the total magnetization, the calculation gives 0.000 μB/atom.

Unit cell a=14.927 b=14.927 c=14.927 alpha=160.94 beta=160.94 gamma=27.08
Fractional positions:
La 0.000 0.000 0.000
La 0.197 0.197 0.000
La 0.803 0.803 0.000
Dy 0.445 0.445 0.000
Dy 0.555 0.555 0.000
Tl 0.115 0.615 0.500
Tl 0.309 0.309 0.000
Tl 0.385 0.885 0.500
Tl 0.615 0.115 0.500
Tl 0.691 0.691 0.000
Tl 0.885 0.385 0.500

***

The following is a GGA-PBE calculation of crystalline La5DyTl3 at its relaxed geometry, from the Alexandria database.

Computed properties:
For the total DFT energy (no corrections), the calculation gives -4.327 eV/atom. The formation enthalpy at 0 K comes out at -289 meV per atom. For the total magnetization, the calculation gives 0.070 μB/atom.

Unit cell a=9.726 b=9.726 c=7.050 alpha=90.00 beta=90.00 gamma=120.00
Fractional positions:
La 0.000 0.342 0.250
La 0.000 0.658 0.750
La 0.333 0.667 0.000
La 0.333 0.667 0.500
La 0.342 0.000 0.250
La 0.342 0.342 0.750
La 0.658 0.000 0.750
La 0.658 0.658 0.250
La 0.667 0.333 0.000
La 0.667 0.333 0.500
Dy 0.000 0.000 0.000
Dy 0.000 0.000 0.500
Tl 0.000 0.319 0.750
Tl 0.000 0.681 0.250
Tl 0.319 0.000 0.750
Tl 0.319 0.319 0.250
Tl 0.681 0.000 0.250
Tl 0.681 0.681 0.750

***

The following is a GGA-PBE calculation of crystalline La3Dy2Tl3 at its relaxed geometry, from the Alexandria database.

Computed properties:
For the total DFT energy (no corrections), the calculation gives -4.205 eV/atom. The formation enthalpy at 0 K comes out at -320 meV per atom. As for the relative energy among the computed polymorphs: 0 meV/atom. For the total magnetization, the calculation gives 0.000 μB/atom.

Unit cell a=9.363 b=9.363 c=6.795 alpha=90.00 beta=90.00 gamma=120.00
Fractional positions:
La 0.000 0.243 0.250
La 0.000 0.757 0.750
La 0.243 0.000 0.250
La 0.243 0.243 0.750
La 0.757 0.000 0.750
La 0.757 0.757 0.250
Dy 0.333 0.667 0.000
Dy 0.333 0.667 0.500
Dy 0.667 0.333 0.000
Dy 0.667 0.333 0.500
Tl 0.000 0.405 0.750
Tl 0.000 0.595 0.250
Tl 0.405 0.000 0.750
Tl 0.405 0.405 0.250
Tl 0.595 0.000 0.250
Tl 0.595 0.595 0.750

***

The following is a GGA-PBE calculation of crystalline La2Dy2Tl7 at its relaxed geometry, from the Alexandria database.

Computed properties:
For the total DFT energy (no corrections), the calculation gives -3.421 eV/atom. The formation enthalpy at 0 K comes out at -183 meV per atom. For the total magnetization, the calculation gives 0.000 μB/atom.

Unit cell a=8.201 b=8.201 c=5.129 alpha=97.86 beta=97.86 gamma=87.32
Fractional positions:
La 0.215 0.785 0.000
La 0.785 0.215 0.000
Dy 0.260 0.260 0.199
Dy 0.740 0.740 0.801
Tl 0.000 0.000 0.500
Tl 0.040 0.394 0.710
Tl 0.394 0.040 0.710
Tl 0.433 0.433 0.729
Tl 0.567 0.567 0.271
Tl 0.606 0.960 0.290
Tl 0.960 0.606 0.290

***

The following is a GGA-PBE calculation of crystalline La4DyTl at its relaxed geometry, from the Alexandria database.

Computed properties:
For the total DFT energy (no corrections), the calculation gives -4.563 eV/atom. The formation enthalpy at 0 K comes out at -117 meV per atom. For the total magnetization, the calculation gives 0.000 μB/atom.

Unit cell a=6.310 b=7.171 c=9.066 alpha=90.00 beta=104.49 gamma=90.00
Fractional positions:
La 0.000 0.000 0.000
La 0.000 0.500 0.000
La 0.221 0.000 0.655
La 0.221 0.500 0.655
La 0.489 0.250 0.005
La 0.511 0.750 0.995
La 0.779 0.000 0.345
La 0.779 0.500 0.345
Dy 0.298 0.750 0.330
Dy 0.702 0.250 0.670
Tl 0.283 0.250 0.341
Tl 0.717 0.750 0.659